No. 1
VASP calculation (GGA-PBE) on a geometry-optimized Pr3Al3Cd structure.

Cell lengths 4.7709, 6.0996, 14.2096 Å; angles 80.14, 80.34, 66.98 degrees
Closest atoms and distances in Å follow each position.
Fractional coordinates of all 14 atoms:
Pr  0.7517  0.7015  0.7950  6 Al 3.26-3.46, 2 Cd 3.58
Pr  0.4138  0.2617  0.9107  7 Al 3.21-3.34
Pr  0.2483  0.2985  0.2050  6 Al 3.26-3.46, 2 Cd 3.58
Pr  0.5533  0.2761  0.6174  7 Al 3.23-3.52, 4 Cd 3.30-3.37
Pr  0.5862  0.7383  0.0893  7 Al 3.21-3.34
Pr  0.4467  0.7239  0.3826  7 Al 3.23-3.52, 4 Cd 3.30-3.37
Al  0.8796  0.6923  0.5485  1 Al 2.68, 2 Cd 2.76
Al  0.9444  0.8782  0.2330  1 Al 2.69, 1 Cd 2.75
Al  0.1204  0.3077  0.4515  1 Al 2.68, 2 Cd 2.76
Al  0.8893  0.1580  0.0633  2 Al 2.65-2.69
Al  0.0556  0.1218  0.7670  1 Al 2.69, 1 Cd 2.75
Al  0.1107  0.8420  0.9367  2 Al 2.65-2.69
Cd  0.2594  0.8723  0.6090  3 Al 2.75-2.76
Cd  0.7406  0.1277  0.3910  3 Al 2.75-2.76

Formation enthalpy at 0 K = -8.35 kcal/mol of atoms

***

No. 2
VASP calculation (GGA-PBE) on a geometry-optimized Dy6TlHg2 structure.

Cell lengths 8.7982, 8.7982, 8.7982 Å; angles 107.15, 111.12, 110.17 degrees
Closest atoms and distances in Å follow each position.
Fractional coordinates of all 18 atoms:
Dy  0.7991  0.7534  0.5524  2 Hg 2.97-3.22, 2 Tl 3.26-3.32
Dy  0.7176  0.0406  0.3231  3 Hg 2.93-3.24
Dy  0.0927  0.2726  0.8201  3 Hg 3.22-3.24, 1 Tl 3.28, 1 Dy 3.58
Dy  0.9073  0.7274  0.1799  3 Hg 3.22-3.24, 1 Tl 3.28, 1 Dy 3.58
Dy  0.5476  0.7274  0.8201  3 Hg 3.22-3.24, 1 Tl 3.28, 1 Dy 3.58
Dy  0.2824  0.9594  0.6769  3 Hg 2.93-3.24
Dy  0.2824  0.6055  0.3231  3 Hg 2.93-3.24
Dy  0.2009  0.7534  0.9543  2 Hg 2.97-3.22, 2 Tl 3.26-3.32
Dy  0.7176  0.3945  0.6769  3 Hg 2.93-3.24
Dy  0.4524  0.2726  0.1799  3 Hg 3.22-3.24, 1 Tl 3.28, 1 Dy 3.58
Dy  0.2009  0.2466  0.4476  2 Hg 2.97-3.22, 2 Tl 3.26-3.32
Dy  0.7991  0.2466  0.0457  2 Hg 2.97-3.22, 2 Tl 3.26-3.32
Hg  0.6511  0.0000  0.6511  8 Dy 2.97-3.24, 1 Hg 3.01
Hg  0.5000  0.6368  0.1368  1 Hg 2.86, 2 Dy 2.93
Hg  0.5000  0.3632  0.8632  1 Hg 2.86, 2 Dy 2.93
Hg  0.3489  0.0000  0.3489  8 Dy 2.97-3.24, 1 Hg 3.01
Tl  0.0000  0.5000  0.5000  8 Dy 3.32-3.39
Tl  0.0000  0.0000  0.0000  8 Dy 3.26-3.28, 2 Hg 3.47

Formation enthalpy at 0 K = -5.94 kcal/mol of atoms